# TlCF2

Crystalline TlCF2 at its relaxed geometry (GGA-PBEsol, the Alexandria database).

Lattice parameters (Å, degrees): 7.3066 7.3066 7.3066 24.96 24.96 24.96
With the nearest neighbours (Å) after each atom.
Positions (direct):
Tl: 0.0000 0.0000 0.0000  2 F 2.60
C: 0.5000 0.5000 0.5000  6 F 2.05
F: 0.1223 0.1223 0.1223  3 C 2.05
F: 0.8777 0.8777 0.8777  3 C 2.05

Results
Raw formation energy in eV/atom: 0.49
VASP energy in eV/cell: -14.18

# W3CF

Crystalline W3CF at its relaxed geometry (GGA-PBEsol, the Alexandria database).

Lattice parameters (Å, degrees): 4.1087 4.1087 4.1087 90.00 90.00 90.00
With the nearest neighbours (Å) after each atom.
Positions (direct):
W: 0.0000 0.0000 0.5000  2 C 2.05
W: 0.0000 0.5000 0.0000  2 C 2.05
W: 0.5000 0.0000 0.0000  2 C 2.05
C: 0.0000 0.0000 0.0000  6 W 2.05
F: 0.5000 0.5000 0.5000  12 W 2.91

Results
Raw formation energy in eV/atom: 0.76
VASP energy in eV/cell: -49.18

# FeC2

Crystalline FeC2 at its relaxed geometry (GGA-PBEsol, the Alexandria database).

Lattice parameters (Å, degrees): 4.5727 4.5727 4.5727 138.12 138.12 60.72
With the nearest neighbours (Å) after each atom.
Positions (direct):
Fe: 0.3750 0.6250 0.7500  4 C 2.05
Fe: 0.6250 0.3750 0.2500  4 C 2.05
C: 0.0318 0.7818 0.2500  1 C 1.47
C: 0.2182 0.9682 0.2500  1 C 1.47
C: 0.7818 0.0318 0.7500  1 C 1.47
C: 0.9682 0.2182 0.7500  1 C 1.47

Results
VASP energy in eV/cell: -48.81
Energy of formation in eV per atom: 1.2819

# FeC2

Crystalline FeC2 at its relaxed geometry (GGA-PBEsol, the Alexandria database).

Lattice parameters (Å, degrees): 3.3608 3.3608 3.3608 126.56 126.56 78.98
With the nearest neighbours (Å) after each atom.
Positions (direct):
Fe: 0.0000 0.0000 0.0000  2 C 1.93
C: 0.3720 0.3720 0.0000  1 C 1.33
C: 0.6280 0.6280 0.0000  1 C 1.33

Results
VASP energy in eV/cell: -24.94
Energy of formation in eV per atom: 1.1031

# FeC3

Crystalline FeC3 at its relaxed geometry (GGA-PBEsol, the Alexandria database).

Lattice parameters (Å, degrees): 6.4149 6.4149 2.5283 90.00 90.00 141.95
With the nearest neighbours (Å) after each atom.
Positions (direct):
Fe: 0.0790 0.9210 0.7500  4 C 2.08-2.19, 2 Fe 2.30
Fe: 0.9210 0.0790 0.2500  4 C 2.08-2.19, 2 Fe 2.30
C: 0.0722 0.5912 0.7500  3 C 1.41-1.46
C: 0.4088 0.9278 0.7500  3 C 1.41-1.46
C: 0.4759 0.5241 0.2500  2 C 1.39
C: 0.5241 0.4759 0.7500  2 C 1.39
C: 0.5912 0.0722 0.2500  3 C 1.41-1.46
C: 0.9278 0.4088 0.2500  3 C 1.41-1.46

Results
VASP energy in eV/cell: -70.86
Energy of formation in eV per atom: 0.6160

# FeC

Crystalline FeC at its relaxed geometry (GGA-PBEsol, the Alexandria database).

Lattice parameters (Å, degrees): 3.5983 3.5983 3.5983 60.00 60.00 60.00
With the nearest neighbours (Å) after each atom.
Positions (direct):
Fe: 0.1250 0.1250 0.1250  4 Fe 2.20, 4 C 2.20
Fe: 0.8750 0.8750 0.8750  4 C 2.20, 4 Fe 2.20
C: 0.3750 0.3750 0.3750  4 Fe 2.20, 4 C 2.20
C: 0.6250 0.6250 0.6250  4 Fe 2.20, 4 C 2.20

Results
VASP energy in eV/cell: -30.11
Energy of formation in eV per atom: 1.7760

# Fe3C4

Crystalline Fe3C4 at its relaxed geometry (GGA-PBEsol, the Alexandria database).

Lattice parameters (Å, degrees): 3.8734 3.8734 3.8734 90.00 90.00 90.00
With the nearest neighbours (Å) after each atom.
Positions (direct):
Fe: 0.0000 0.0000 0.5000  6 C 1.94
Fe: 0.0000 0.5000 0.0000  6 C 1.94
Fe: 0.5000 0.0000 0.0000  6 C 1.94
C: 0.0000 0.0000 0.0000  6 Fe 1.94
C: 0.0000 0.5000 0.5000  4 Fe 1.94
C: 0.5000 0.0000 0.5000  4 Fe 1.94
C: 0.5000 0.5000 0.0000  4 Fe 1.94

Results
VASP energy in eV/cell: -58.64
Energy of formation in eV per atom: 0.9755

# FeC3

Crystalline FeC3 at its relaxed geometry (GGA-PBEsol, the Alexandria database).

Lattice parameters (Å, degrees): 3.7996 3.7996 3.7996 90.00 90.00 90.00
With the nearest neighbours (Å) after each atom.
Positions (direct):
Fe: 0.0000 0.0000 0.0000  12 C 2.12
Fe: 0.5000 0.5000 0.5000  12 C 2.12
C: 0.0000 0.2500 0.5000  2 C 1.90, 4 Fe 2.12
C: 0.0000 0.7500 0.5000  2 C 1.90, 4 Fe 2.12
C: 0.2500 0.5000 0.0000  2 C 1.90, 4 Fe 2.12
C: 0.5000 0.0000 0.2500  2 C 1.90, 4 Fe 2.12
C: 0.5000 0.0000 0.7500  2 C 1.90, 4 Fe 2.12
C: 0.7500 0.5000 0.0000  2 C 1.90, 4 Fe 2.12

Results
VASP energy in eV/cell: -57.27
Energy of formation in eV per atom: 2.3151

# FeC3

Crystalline FeC3 at its relaxed geometry (GGA-PBEsol, the Alexandria database).

Lattice parameters (Å, degrees): 3.8449 3.8449 3.5911 117.08 117.08 38.94
With the nearest neighbours (Å) after each atom.
Positions (direct):
Fe: 0.0000 0.0000 0.0000  10 C 2.04-2.21
C: 0.3046 0.3046 0.1143  3 C 1.42-1.52
C: 0.5000 0.5000 0.5000  2 C 1.42
C: 0.6954 0.6954 0.8857  3 C 1.42-1.52

Results
VASP energy in eV/cell: -34.44
Energy of formation in eV per atom: 0.8647

# Fe2C

Crystalline Fe2C at its relaxed geometry (GGA-PBEsol, the Alexandria database).

Lattice parameters (Å, degrees): 4.9326 4.9326 4.1777 90.00 90.00 148.24
With the nearest neighbours (Å) after each atom.
Positions (direct):
Fe: 0.0530 0.9470 0.7500  2 C 1.88
Fe: 0.2158 0.7842 0.2500  2 C 1.83
Fe: 0.7842 0.2158 0.7500  2 C 1.83
Fe: 0.9470 0.0530 0.2500  2 C 1.88
C: 0.4152 0.5848 0.7500  4 Fe 1.83-1.88
C: 0.5848 0.4152 0.2500  4 Fe 1.83-1.88

Results
VASP energy in eV/cell: -52.96
Energy of formation in eV per atom: 0.3634

# FeC2

Crystalline FeC2 at its relaxed geometry (GGA-PBEsol, the Alexandria database).

Lattice parameters (Å, degrees): 4.0192 4.0192 4.0192 60.00 60.00 60.00
With the nearest neighbours (Å) after each atom.
Positions (direct):
Fe: 0.1250 0.1250 0.1250  12 C 2.36, 4 Fe 2.46
Fe: 0.8750 0.8750 0.8750  12 C 2.36, 4 Fe 2.46
C: 0.0000 0.5000 0.5000  6 C 2.01
C: 0.5000 0.0000 0.5000  6 C 2.01
C: 0.5000 0.5000 0.0000  6 C 2.01
C: 0.5000 0.5000 0.5000  6 C 2.01

Results
VASP energy in eV/cell: -41.34
Energy of formation in eV per atom: 2.5271

# FeC

Crystalline FeC at its relaxed geometry (GGA-PBEsol, the Alexandria database).

Lattice parameters (Å, degrees): 4.8734 4.8734 4.8734 147.64 147.64 46.41
With the nearest neighbours (Å) after each atom.
Positions (direct):
Fe: 0.3750 0.6250 0.7500  4 C 1.92
Fe: 0.6250 0.3750 0.2500  4 C 1.92
C: 0.1250 0.8750 0.2500  4 Fe 1.92
C: 0.8750 0.1250 0.7500  4 Fe 1.92

Results
VASP energy in eV/cell: -33.93
Energy of formation in eV per atom: 0.8203

# FeC3

Crystalline FeC3 at its relaxed geometry (GGA-PBEsol, the Alexandria database).

Lattice parameters (Å, degrees): 3.3647 3.3647 2.5103 90.00 90.00 90.00
With the nearest neighbours (Å) after each atom.
Positions (direct):
Fe: 0.0000 0.0000 0.0000  8 C 2.10
C: 0.0000 0.5000 0.5000  4 Fe 2.10, 4 C 2.10
C: 0.5000 0.0000 0.5000  4 Fe 2.10, 4 C 2.10
C: 0.5000 0.5000 0.0000  8 C 2.10

Results
VASP energy in eV/cell: -27.38
Energy of formation in eV per atom: 2.6290

# Fe2C

Crystalline Fe2C at its relaxed geometry (GGA-PBEsol, the Alexandria database).

Lattice parameters (Å, degrees): 2.5742 2.5742 4.7189 90.00 90.00 120.00
With the nearest neighbours (Å) after each atom.
Positions (direct):
Fe: 0.0000 0.0000 0.2362  3 C 1.94
Fe: 0.0000 0.0000 0.7638  3 C 1.94
C: 0.6667 0.3333 0.5000  6 Fe 1.94

Results
VASP energy in eV/cell: -26.54
Energy of formation in eV per atom: 0.3441